Computed, not measured: crystalline Dy2HoTl2Zn2 at its relaxed geometry at the PBE-GGA level of DFT.

Output
- Energy relative to the elements: -146 meV per atom
- Total magnetization: 0.00 μB per atom

a = 4.7275 Å, b = 4.7275 Å, c = 27.3765 Å
α = 90.00°, β = 90.00°, γ = 120.00°
With the nearest neighbours (Å) after each atom.
Space group R-3m (No. 166, hexagonal axes)
Unique sites:
Dy  0.0000  0.0000  0.1265 x6  3 Tl 3.11, 3 Zn 3.32, 1 Ho 3.46
Ho  0.0000  0.0000  0.0000 x3  6 Zn 3.15, 6 Tl 3.36, 2 Dy 3.46
Tl  0.0000  0.0000  0.2615 x6  3 Zn 2.76
Zn  0.0000  0.0000  0.3908 x6  3 Tl 2.76